No. 1
# NpHBr5 | the Alexandria database | GGA-PBE | relaxed
data_NpHBr5
_chemical_formula_sum 'Np2 H2 Br10'
_cell_length_a 7.7380
_cell_length_b 7.9733
_cell_length_c 9.6669
_cell_angle_alpha 81.48
_cell_angle_beta 72.68
_cell_angle_gamma 61.14
_symmetry_space_group_name_H-M 'P -1'
_symmetry_Int_Tables_number 2
_symmetry_space_group_name_Hall '-P 1'
loop_
_atom_site_label
_atom_site_fract_x
_atom_site_fract_y
_atom_site_fract_z
Np1 0.0000 0.0000 0.0000
Np2 0.5000 0.0000 0.5000
H1 0.1595 0.1826 0.2495
Br1 0.1122 0.1989 0.4329
Br2 0.1917 0.1974 0.0656
Br3 0.1937 0.7010 0.1571
Br4 0.3346 0.8283 0.7505
Br5 0.3980 0.2980 0.6555
# total magnetic moment: 6.0 Bohr magnetons per cell
# DFT total energy: -4.43 eV per atom

---

No. 2
# NpH4Br5 | the Alexandria database | GGA-PBE | relaxed
data_NpH4Br5
_chemical_formula_sum 'Np2 H8 Br10'
_cell_length_a 9.5068
_cell_length_b 9.5068
_cell_length_c 5.7468
_cell_angle_alpha 90.00
_cell_angle_beta 90.00
_cell_angle_gamma 90.00
_symmetry_space_group_name_H-M 'I 4'
_symmetry_Int_Tables_number 79
_symmetry_space_group_name_Hall 'I 4'
loop_
_atom_site_label
_atom_site_fract_x
_atom_site_fract_y
_atom_site_fract_z
Np1 0.0000 0.0000 0.0000
H1 0.1494 0.8248 0.8624
Br1 0.0000 0.0000 0.5065
Br2 0.0890 0.6978 0.0152
# total magnetic moment: 12.0 Bohr magnetons per cell
# DFT total energy: -3.59 eV per atom

---

No. 3
# Np2H2Br7 | the Alexandria database | GGA-PBE | relaxed
data_Np2H2Br7
_chemical_formula_sum 'Np4 H4 Br14'
_cell_length_a 10.6334
_cell_length_b 8.9428
_cell_length_c 7.7349
_cell_angle_alpha 90.00
_cell_angle_beta 90.79
_cell_angle_gamma 90.00
_symmetry_space_group_name_H-M 'C 1 2/m 1'
_symmetry_Int_Tables_number 12
_symmetry_space_group_name_Hall '-C 2y'
loop_
_atom_site_label
_atom_site_fract_x
_atom_site_fract_y
_atom_site_fract_z
Np1 0.2196 0.0000 0.9996
H1 0.0000 0.2993 0.5000
Br1 0.0000 0.5000 0.0000
Br2 0.0016 0.0000 0.2215
Br3 0.2492 0.2495 0.7666
# total magnetic moment: 18.0 Bohr magnetons per cell
# DFT total energy: -4.64 eV per atom

---

No. 4
# NpHBr6 | the Alexandria database | GGA-PBE | relaxed
data_NpHBr6
_chemical_formula_sum 'Np2 H2 Br12'
_cell_length_a 7.4832
_cell_length_b 12.6504
_cell_length_c 7.2050
_cell_angle_alpha 90.00
_cell_angle_beta 115.02
_cell_angle_gamma 90.00
_symmetry_space_group_name_H-M 'C 1 2/m 1'
_symmetry_Int_Tables_number 12
_symmetry_space_group_name_Hall '-C 2y'
loop_
_atom_site_label
_atom_site_fract_x
_atom_site_fract_y
_atom_site_fract_z
Np1 0.0000 0.0000 0.0000
H1 0.0000 0.0000 0.5000
Br1 0.1955 0.0000 0.7369
Br2 0.2439 0.1473 0.2282
# total magnetic moment: 4.0 Bohr magnetons per cell
# DFT total energy: -4.14 eV per atom

---

no.,theoretical density (Mg/m³)
1,4.246
2,4.096
3,4.675
4,3.855